(1)
A plane-wave DFT calculation with GGA-PBE was carried out for a relaxed CsSb3Cl crystal.

abc: 6.3083 6.3083 6.3083
angles: 90.00 90.00 90.00
Closest atoms and distances in Å follow each position.
Positions (direct):
Cs: 0.0000 0.0000 0.0000  6 Sb 3.15
Sb: 0.0000 0.5000 0.0000  2 Cs 3.15
Sb: 0.0000 0.0000 0.5000  2 Cs 3.15
Sb: 0.5000 0.0000 0.0000  2 Cs 3.15
Cl: 0.5000 0.5000 0.5000  12 Sb 4.46

Summary:
The calculated density comes out at 3.5 Mg/m³. As for the space group: Pm-3m, No. 221. Its final energy is -1.57 eV/atom. The value obtained for the formation energy from raw total energies is 1448.2 meV per atom.



(2)
A plane-wave DFT calculation with GGA-PBE was carried out for a relaxed Ti6CN crystal.

abc: 5.1867 5.1867 9.7601
angles: 90.00 90.00 120.00
Closest atoms and distances in Å follow each position.
Positions (direct):
Ti: 0.3227 0.3321 0.3765  1 N 2.08, 1 C 2.11
Ti: 0.6773 0.6679 0.6235  1 N 2.08, 1 C 2.11
Ti: 0.0094 0.6773 0.3765  1 N 2.08, 1 C 2.11
Ti: 0.3227 0.9906 0.1235  1 N 2.08, 1 C 2.11
Ti: 0.9906 0.3227 0.6235  1 N 2.08, 1 C 2.11
Ti: 0.6773 0.0094 0.8765  1 N 2.08, 1 C 2.11
Ti: 0.6679 0.9906 0.3765  1 N 2.08, 1 C 2.11
Ti: 0.0094 0.3321 0.1235  1 N 2.08, 1 C 2.11
Ti: 0.3321 0.0094 0.6235  1 N 2.08, 1 C 2.11
Ti: 0.9906 0.6679 0.8765  1 N 2.08, 1 C 2.11
Ti: 0.6679 0.6773 0.1235  1 N 2.08, 1 C 2.11
Ti: 0.3321 0.3227 0.8765  1 N 2.08, 1 C 2.11
C: 0.3333 0.6667 0.2500  6 Ti 2.11
C: 0.6667 0.3333 0.7500  6 Ti 2.11
N: 0.0000 0.0000 0.5000  6 Ti 2.08
N: 0.0000 0.0000 0.0000  6 Ti 2.08

Summary:
The calculated density comes out at 4.6 Mg/m³. As for the space group: P-31c, No. 163. Its final energy is -8.80 eV/atom. The value obtained for the formation energy from raw total energies is -683.4 meV per atom.



Number 1: V 251.0 Å³ per cell. Number 2: V 227.4 Å³ per cell.